## 1
A relaxed ScTcH4 crystal, computed with PBE.

Summary:
- DOS at the Fermi energy (states/eV/f.u.) = 0.4

a = 8.8066 Å, b = 5.5243 Å, c = 3.9353 Å
α = 90.00°, β = 90.00°, γ = 90.00°
Space group Ama2 (No. 40)
Unique sites:
Sc  0.0000  0.0000  0.0000
Tc  0.2500  0.1555  0.5074
H  0.0530  0.1455  0.4994
H  0.2500  0.3252  0.8849
H  0.2500  0.4771  0.3874

## 2
A relaxed ScTcH4 crystal, computed with PBE.

Summary:
- DOS at the Fermi energy (states/eV/f.u.) = 0.3

a = 9.0542 Å, b = 4.1289 Å, c = 5.2546 Å
α = 90.00°, β = 105.99°, γ = 90.00°
Space group C2/c (No. 15)
Unique sites:
Sc  0.0000  0.2318  0.2500
Tc  0.2500  0.2500  0.0000
H  0.0557  0.3186  0.9164
H  0.1879  0.1000  0.6549

Relative energy of each structure, in kJ/mol of atoms: 1 1.1; 2 0.0.

## 1
A relaxed ScTe2H2 crystal, computed with PBE.

Summary:
- DOS at the Fermi energy (states/eV/f.u.) = 2.7

a = 3.6439 Å, b = 3.6439 Å, c = 12.8574 Å
α = 90.00°, β = 90.00°, γ = 90.00°
Space group I4/mmm (No. 139)
Unique sites:
Sc  0.0000  0.0000  0.0000
Te  0.0000  0.0000  0.3684
H  0.0000  0.5000  0.2500

## 2
A relaxed ScTe2H2 crystal, computed with PBE.

Summary:
- DOS at the Fermi energy (states/eV/f.u.) = 1.3

a = 6.2689 Å, b = 6.2689 Å, c = 4.3033 Å
α = 90.00°, β = 90.00°, γ = 90.00°
Space group P4/mbm (No. 127)
Unique sites:
Sc  0.0000  0.0000  0.0000
Te  0.1567  0.3433  0.5000
H  0.1768  0.6768  0.0000

## 3
A relaxed ScTe2H2 crystal, computed with PBE.

Summary:
- DOS at the Fermi energy (states/eV/f.u.) = 1.0

a = 5.3652 Å, b = 5.3652 Å, c = 6.4774 Å
α = 90.00°, β = 90.00°, γ = 90.00°
Space group I4/mmm (No. 139)
Unique sites:
Sc  0.0000  0.0000  0.0000
Te  0.0000  0.5000  0.2500
H  0.0000  0.0000  0.4413

Relative energy of each structure, in kJ/mol of atoms: 1 50.2; 2 38.0; 3 0.0.

## 1
A relaxed Sc2TeH2 crystal, computed with PBE.

Summary:
- DOS at the Fermi energy (states/eV/f.u.) = 3.0

a = 4.1701 Å, b = 4.2855 Å, c = 9.8615 Å
α = 90.00°, β = 90.00°, γ = 90.00°
Space group Amm2 (No. 38)
Unique sites:
Sc  0.0000  0.0000  0.0000
Sc  0.5000  0.0000  0.4783
Te  0.5000  0.0000  0.7744
H  0.0000  0.0000  0.4842
H  0.5000  0.0000  0.0513

## 2
A relaxed Sc2TeH2 crystal, computed with PBE.

Summary:
- DOS at the Fermi energy (states/eV/f.u.) = 4.5

a = 3.5920 Å, b = 3.5920 Å, c = 11.3831 Å
α = 90.00°, β = 90.00°, γ = 90.00°
Space group I4/mmm (No. 139)
Unique sites:
Sc  0.0000  0.0000  0.1453
Te  0.0000  0.0000  0.5000
H  0.0000  0.5000  0.2500

Relative energy of each structure, in kJ/mol of atoms: 1 21.3; 2 0.0.

## 1
A relaxed ScTe2H crystal, computed with PBE.

Summary:
- DOS at the Fermi energy (states/eV/f.u.) = 4.0

a = 3.4151 Å, b = 3.4151 Å, c = 26.5644 Å
α = 90.00°, β = 90.00°, γ = 120.00°
Space group R-3m (No. 166, hexagonal axes)
Unique sites:
Sc  0.0000  0.0000  0.0000
Te  0.0000  0.0000  0.1072
H  0.0000  0.0000  0.5000

## 2
A relaxed ScTe2H crystal, computed with PBE.

a = 4.3000 Å, b = 7.0014 Å, c = 7.3465 Å
α = 87.08°, β = 89.96°, γ = 89.90°
Space group P1 (No. 1)
Unique sites:
Sc  0.0000  0.0000  0.0000
Sc  0.4993  0.0000  0.4999
Te  0.9999  0.7851  0.6738
Te  0.4992  0.2371  0.8242
Te  0.5003  0.7851  0.1738
Te  0.9990  0.2371  0.3242
H  0.4947  0.4776  0.7952
H  0.9990  0.4777  0.2953

Relative energy of each structure, in kJ/mol of atoms: 1 104.1; 2 0.0.

## 1
A relaxed ScTe2H crystal, computed with PBE.

Summary:
- DOS at the Fermi energy (states/eV/f.u.) = 0.0

a = 4.2695 Å, b = 4.2695 Å, c = 21.2392 Å
α = 90.00°, β = 90.00°, γ = 120.00°
Space group R-3m (No. 166, hexagonal axes)
Unique sites:
Sc  0.0000  0.0000  0.0000
Te  0.0000  0.0000  0.4081
H  0.0000  0.0000  0.5000

## 2
A relaxed ScTe2H crystal, computed with PBE.

Summary:
- DOS at the Fermi energy (states/eV/f.u.) = 1.0

a = 6.7674 Å, b = 6.7674 Å, c = 7.6879 Å
α = 90.00°, β = 90.00°, γ = 90.00°
Space group I-42d (No. 122)
Unique sites:
Sc  0.0000  0.0000  0.0000
Te  0.1862  0.2500  0.6250
H  0.0000  0.0000  0.5000

Relative energy of each structure, in kJ/mol of atoms: 1 0.0; 2 41.7.

## 1
A relaxed Sc2TeH crystal, computed with PBE.

Summary:
- DOS at the Fermi energy (states/eV/f.u.) = 2.0

a = 7.2790 Å, b = 5.8455 Å, c = 6.9686 Å
α = 90.00°, β = 100.52°, γ = 90.00°
Space group P2_1/c (No. 14)
Unique sites:
Sc  0.0395  0.1338  0.3165
Sc  0.3128  0.6533  0.5200
Te  0.3372  0.1314  0.6697
H  0.1894  0.6607  0.7672

## 2
A relaxed Sc2TeH crystal, computed with PBE.

Summary:
- DOS at the Fermi energy (states/eV/f.u.) = 3.7

a = 3.4400 Å, b = 3.4400 Å, c = 24.2964 Å
α = 90.00°, β = 90.00°, γ = 120.00°
Space group R-3m (No. 166, hexagonal axes)
Unique sites:
Sc  0.0000  0.0000  0.1180
Te  0.0000  0.0000  0.0000
H  0.0000  0.0000  0.5000

## 3
A relaxed Sc2TeH crystal, computed with PBE.

Summary:
- DOS at the Fermi energy (states/eV/f.u.) = 1.3

a = 6.6620 Å, b = 6.6620 Å, c = 6.4664 Å
α = 90.00°, β = 90.00°, γ = 90.00°
Space group I-42d (No. 122)
Unique sites:
Sc  0.1496  0.2500  0.1250
Te  0.0000  0.0000  0.5000
H  0.0000  0.0000  0.0000

## 4
A relaxed Sc2TeH crystal, computed with PBE.

Summary:
- DOS at the Fermi energy (states/eV/f.u.) = 3.8

a = 6.7346 Å, b = 6.7346 Å, c = 6.7346 Å
α = 90.00°, β = 90.00°, γ = 90.00°
Space group Fm-3m (No. 225)
Unique sites:
Sc  0.2500  0.2500  0.2500
Te  0.0000  0.0000  0.0000
H  0.0000  0.0000  0.5000

Relative energy of each structure, in kJ/mol of atoms: 1 0.0; 2 59.1; 3 3.1; 4 50.4.

## 1
A relaxed ThScH2 crystal, computed with PBE.

Summary:
- DOS at the Fermi energy (states/eV/f.u.) = 3.0

a = 3.4150 Å, b = 3.4150 Å, c = 17.1633 Å
α = 90.00°, β = 90.00°, γ = 120.00°
Space group R-3m (No. 166, hexagonal axes)
Unique sites:
Th  0.0000  0.0000  0.0000
Sc  0.0000  0.0000  0.5000
H  0.0000  0.0000  0.2374

## 2
A relaxed ThScH2 crystal, computed with PBE.

Summary:
- DOS at the Fermi energy (states/eV/f.u.) = 3.6

a = 3.3588 Å, b = 3.3588 Å, c = 17.7025 Å
α = 90.00°, β = 90.00°, γ = 120.00°
Space group R3m (No. 160, hexagonal axes)
Unique sites:
Th  0.0000  0.0000  0.0000
Sc  0.0000  0.0000  0.8249
H  0.0000  0.0000  0.2213
H  0.0000  0.0000  0.4301

Relative energy of each structure, in kJ/mol of atoms: 1 0.0; 2 6.1.

## 1
A relaxed ScTi2H crystal, computed with PBE.

Summary:
- DOS at the Fermi energy (states/eV/f.u.) = 8.6

a = 5.7269 Å, b = 5.7269 Å, c = 7.9096 Å
α = 90.00°, β = 90.00°, γ = 90.00°
Space group I-42d (No. 122)
Unique sites:
Sc  0.0000  0.0000  0.0000
Ti  0.0621  0.7500  0.6250
H  0.0000  0.0000  0.5000

## 2
A relaxed ScTi2H crystal, computed with PBE.

Summary:
- DOS at the Fermi energy (states/eV/f.u.) = 4.6

a = 2.9727 Å, b = 2.9727 Å, c = 23.3338 Å
α = 90.00°, β = 90.00°, γ = 120.00°
Space group R-3m (No. 166, hexagonal axes)
Unique sites:
Sc  0.0000  0.0000  0.0000
Ti  0.0000  0.0000  0.1172
H  0.0000  0.0000  0.5000

Relative energy of each structure, in kJ/mol of atoms: 1 0.0; 2 4.7.